Li2Fe3P4O14 | PBE+U | relaxed

Unit cell a=5.3469 b=6.4907 c=16.0672 alpha=82.50 beta=82.14 gamma=72.09
Space group P-1 (No. 2)
Asymmetric unit:
Li 0.0852 0.1936 0.4839 (multiplicity 2)
Li 0.3319 0.7064 0.6172 (multiplicity 2)
Fe 0.0535 0.6382 0.3176 (multiplicity 2)
Fe 0.1927 0.2968 0.0951 (multiplicity 2)
Fe 0.2347 0.9616 0.8328 (multiplicity 2)
P 0.1849 0.1077 0.2966 (multiplicity 2)
P 0.2999 0.7882 0.0413 (multiplicity 2)
P 0.3717 0.4141 0.8201 (multiplicity 2)
P 0.4658 0.7579 0.4251 (multiplicity 2)
O 0.0151 0.0144 0.7099 (multiplicity 2)
O 0.0475 0.3019 0.3501 (multiplicity 2)
O 0.1275 0.9931 0.0829 (multiplicity 2)
O 0.1667 0.6092 0.0513 (multiplicity 2)
O 0.1861 0.6438 0.8341 (multiplicity 2)
O 0.2235 0.2802 0.7844 (multiplicity 2)
O 0.2357 0.3008 0.5688 (multiplicity 2)
O 0.2852 0.8555 0.5024 (multiplicity 2)
O 0.3396 0.1591 0.2136 (multiplicity 2)
O 0.3671 0.5826 0.2274 (multiplicity 2)
O 0.3861 0.5719 0.3977 (multiplicity 2)
O 0.4081 0.8392 0.9497 (multiplicity 2)
O 0.4196 0.9586 0.3513 (multiplicity 2)
O 0.4276 0.2952 0.9136 (multiplicity 2)

* VASP energy: -0.2558 hartree per atom